Entry 1:
A relaxed Pm2PS crystal, computed with PBE-GGA.

The polymorph energy (0 for the lowest one) is 6 meV per atom. Its formation energy from raw total energies is -1862 meV/atom. Its crystal system is trigonal.

Unit cell a=7.106 b=7.106 c=7.106 alpha=33.39 beta=33.39 gamma=33.39
Element x y z (fractional)
Pm  0.247  0.247  0.247
Pm  0.753  0.753  0.753
P  0.500  0.500  0.500
S  0.000  0.000  0.000



Entry 2:
A relaxed InSeN2Cl crystal, computed with PBE-GGA.

The polymorph energy (0 for the lowest one) is 451 meV per atom. Its formation energy from raw total energies is 1929 meV/atom. Its crystal system is tetragonal.

Unit cell a=4.243 b=4.243 c=5.197 alpha=90.00 beta=90.00 gamma=90.00
Element x y z (fractional)
In  0.000  0.000  0.000
Se  0.500  0.500  0.000
N  0.000  0.500  0.500
N  0.500  0.000  0.500
Cl  0.500  0.500  0.500



Entry 3:
A relaxed CdSn2Hg crystal, computed with PBE-GGA.

The polymorph energy (0 for the lowest one) is 59 meV per atom. As for the formation enthalpy at 0 K: 0.099 eV/atom. Its crystal system is cubic.

Unit cell a=5.285 b=5.285 c=5.285 alpha=60.00 beta=60.00 gamma=60.00
Element x y z (fractional)
Cd  0.000  0.000  0.000
Sn  0.250  0.250  0.250
Sn  0.750  0.750  0.750
Hg  0.500  0.500  0.500



Entry 4:
A relaxed Tb2ErPaTc2 crystal, computed with PBE-GGA.

As for the formation enthalpy at 0 K: -0.066 eV/atom. Its crystal system is orthorhombic.

Unit cell a=8.387 b=8.387 c=8.387 alpha=133.48 beta=67.76 gamma=133.66
Element x y z (fractional)
Tb  0.190  0.243  0.433
Tb  0.310  0.743  0.053
Tb  0.690  0.257  0.947
Tb  0.810  0.757  0.567
Er  0.250  0.750  0.500
Er  0.750  0.250  0.500
Pa  0.250  0.250  0.000
Pa  0.750  0.750  0.000
Tc  0.106  0.796  0.902
Tc  0.394  0.296  0.689
Tc  0.606  0.704  0.311
Tc  0.894  0.204  0.098



Entry 5:
A relaxed Hf3ZrIr crystal, computed with PBE-GGA.

The polymorph energy (0 for the lowest one) is 0 meV per atom. As for the formation enthalpy at 0 K: -0.384 eV/atom. Its crystal system is monoclinic.

Unit cell a=5.866 b=4.738 c=7.431 alpha=90.00 beta=100.18 gamma=90.00
Element x y z (fractional)
Hf  0.140  0.250  0.004
Hf  0.238  0.750  0.733
Hf  0.326  0.250  0.443
Hf  0.674  0.750  0.557
Hf  0.762  0.250  0.267
Hf  0.860  0.750  0.996
Zr  0.427  0.750  0.161
Zr  0.573  0.250  0.839
Ir  0.046  0.750  0.353
Ir  0.954  0.250  0.647



Entry 6:
A relaxed La2Pm15Y2 crystal, computed with PBE-GGA.

As for the formation enthalpy at 0 K: 0.237 eV/atom. Its crystal system is trigonal.

Unit cell a=8.928 b=8.928 c=8.928 alpha=79.89 beta=79.89 gamma=79.89
Element x y z (fractional)
La  0.176  0.176  0.176
La  0.824  0.824  0.824
Pm  0.000  0.500  0.500
Pm  0.130  0.130  0.651
Pm  0.130  0.651  0.130
Pm  0.205  0.500  0.795
Pm  0.205  0.795  0.500
Pm  0.349  0.870  0.870
Pm  0.500  0.000  0.500
Pm  0.500  0.205  0.795
Pm  0.500  0.500  0.000
Pm  0.500  0.795  0.205
Pm  0.651  0.130  0.130
Pm  0.795  0.205  0.500
Pm  0.795  0.500  0.205
Pm  0.870  0.349  0.870
Pm  0.870  0.870  0.349
Y  0.405  0.405  0.405
Y  0.595  0.595  0.595



no.,magnetic moment (μB per atom)
1,0.000
2,0.451
3,0.000
4,0.000
5,0.000
6,0.001